[1]
Computed, not measured: a relaxed Pm3AsPb crystal at the GGA-PBE level of DFT.

Cell lengths 6.916, 9.691, 9.691 Å; angles 98.71, 94.86, 94.86 degrees
Each line ends with the local moment (μB).
Positions (direct):
Pm: 0.620 0.208 0.066  0.01
Pm: 0.880 0.934 0.792  0.01
Pm: 0.380 0.792 0.934  0.01
Pm: 0.120 0.066 0.208  0.01
Pm: 0.879 0.654 0.072  0.06
Pm: 0.621 0.928 0.346  0.06
Pm: 0.121 0.346 0.928  0.06
Pm: 0.379 0.072 0.654  0.06
Pm: 0.448 0.537 0.280  0.08
Pm: 0.052 0.720 0.463  0.08
Pm: 0.552 0.463 0.720  0.08
Pm: 0.948 0.280 0.537  0.08
As: 0.250 0.069 0.931  0.00
As: 0.750 0.931 0.069  0.00
As: 0.250 0.784 0.216  0.00
As: 0.750 0.216 0.784  0.00
Pb: 0.979 0.407 0.250  -0.01
Pb: 0.521 0.750 0.593  -0.01
Pb: 0.021 0.593 0.750  -0.01
Pb: 0.479 0.250 0.407  -0.01

Summary:
- theoretical density (g/cm³) = 7.48


[2]
Computed, not measured: a relaxed Pm2AsPb crystal at the GGA-PBE level of DFT.

Cell lengths 4.171, 4.171, 8.290 Å; angles 75.43, 75.43, 60.00 degrees
Positions (direct):
Pm: 0.262 0.262 0.215
Pm: 0.738 0.738 0.785
As: 0.000 0.000 0.000
Pb: 0.500 0.500 0.500

Summary:
- theoretical density (g/cm³) = 7.95


[3]
Computed, not measured: a relaxed Pm6As4Pb crystal at the GGA-PBE level of DFT.

Cell lengths 4.247, 7.310, 21.585 Å; angles 90.00, 90.00, 106.89 degrees
Each line ends with the local moment (μB).
Positions (direct):
Pm: 0.500 0.000 0.000  0.01
Pm: 0.500 0.000 0.500  0.01
Pm: 0.041 0.083 0.340  0.07
Pm: 0.959 0.917 0.660  0.07
Pm: 0.959 0.917 0.840  0.07
Pm: 0.041 0.083 0.160  0.07
Pm: 0.773 0.545 0.418  0.01
Pm: 0.227 0.455 0.582  0.01
Pm: 0.227 0.455 0.918  0.01
Pm: 0.773 0.545 0.082  0.01
Pm: 0.334 0.668 0.250  0.15
Pm: 0.666 0.332 0.750  0.15
As: 0.862 0.725 0.541  0.00
As: 0.408 0.817 0.125  0.00
As: 0.138 0.275 0.459  0.00
As: 0.592 0.183 0.875  0.00
As: 0.862 0.725 0.959  0.00
As: 0.138 0.275 0.041  0.00
As: 0.592 0.183 0.625  0.00
As: 0.408 0.817 0.375  0.00
Pb: 0.663 0.325 0.250  -0.01
Pb: 0.337 0.675 0.750  -0.01

Summary:
- theoretical density (g/cm³) = 7.13


[4]
Computed, not measured: a relaxed Pm3AsPb crystal at the GGA-PBE level of DFT.

Cell lengths 4.413, 8.746, 15.679 Å; angles 90.00, 90.00, 90.00 degrees
Each line ends with the local moment (μB).
Positions (direct):
Pm: 0.250 0.348 0.526  0.05
Pm: 0.750 0.824 0.217  0.09
Pm: 0.750 0.520 0.892  0.12
Pm: 0.750 0.020 0.608  0.12
Pm: 0.750 0.652 0.474  0.05
Pm: 0.250 0.980 0.392  0.12
Pm: 0.250 0.848 0.974  0.05
Pm: 0.750 0.324 0.283  0.09
Pm: 0.250 0.676 0.717  0.09
Pm: 0.250 0.176 0.783  0.09
Pm: 0.750 0.152 0.026  0.05
Pm: 0.250 0.480 0.108  0.12
As: 0.250 0.317 0.945  -0.01
As: 0.250 0.817 0.555  -0.01
As: 0.750 0.183 0.445  -0.01
As: 0.750 0.683 0.055  -0.01
Pb: 0.750 0.899 0.817  -0.01
Pb: 0.250 0.101 0.183  -0.01
Pb: 0.750 0.399 0.683  -0.01
Pb: 0.250 0.601 0.317  -0.01

Summary:
- theoretical density (g/cm³) = 7.87


Number 1: total magnetic moment 0.069 μB per atom, formation enthalpy at 0 K -0.758 eV/atom. Number 2: total magnetic moment 0.000 μB per atom, formation enthalpy at 0 K -1.004 eV/atom. Number 3: total magnetic moment 0.078 μB per atom, formation enthalpy at 0 K -1.246 eV/atom. Number 4: total magnetic moment 0.119 μB per atom, formation enthalpy at 0 K -0.863 eV/atom.